DFT (GGA-PBE) results for a relaxed structure of EuDy2Th.

Lattice parameters (Å, degrees): 3.631 3.631 10.293 90.00 90.00 90.00
Each line ends with the local moment (μB).
Fractional positions:
Dy1 0.000 0.000 0.228  -0.10
Dy2 0.000 0.000 0.772  -0.10
Eu1 0.500 0.500 0.500  -6.97
Th1 0.500 0.500 0.000  0.01

* V: 33.92 Å³ per atom
* calculated formation energy: 0.044 eV per atom
* space-group type: P4/mmm (123)
* excess energy over the best structure of this formula in the dataset: 0.0 meV/atom

---

DFT (GGA-PBE) results for a relaxed structure of EuDyTh2.

Lattice parameters (Å, degrees): 5.138 5.063 5.063 90.00 90.00 90.00
Each line ends with the local moment (μB).
Fractional positions:
Th1 0.000 0.000 0.500  0.02
Th2 0.000 0.500 0.000  0.02
Eu1 0.500 0.000 0.000  6.81
Dy1 0.500 0.500 0.500  0.03

* V: 32.93 Å³ per atom
* calculated formation energy: 0.150 eV per atom
* space-group type: P4/mmm (123)
* excess energy over the best structure of this formula in the dataset: 0.0 meV/atom

---

DFT (GGA-PBE) results for a relaxed structure of EuDyTh.

Lattice parameters (Å, degrees): 3.623 3.623 8.982 90.00 90.00 120.00
Each line ends with the local moment (μB).
Fractional positions:
Eu1 0.000 0.000 0.996  -7.00
Dy1 0.667 0.333 0.348  -0.10
Th1 0.333 0.667 0.657  -0.04

* V: 34.03 Å³ per atom
* calculated formation energy: 0.081 eV per atom
* space-group type: P3m1 (156)
* excess energy over the best structure of this formula in the dataset: 0.0 meV/atom

---

DFT (GGA-PBE) results for a relaxed structure of EuDyYTh.

Lattice parameters (Å, degrees): 5.752 5.752 5.752 60.00 60.00 60.00
Each line ends with the local moment (μB).
Fractional positions:
Th1 0.250 0.250 0.250  0.36
Y1 0.750 0.750 0.750  0.14
Dy1 0.500 0.500 0.500  0.28
Eu1 0.000 0.000 0.000  6.90

* V: 33.64 Å³ per atom
* calculated formation energy: 0.228 eV per atom
* space-group type: F-43m (216)

---

DFT (GGA-PBE) results for a relaxed structure of EuDyTl.

Lattice parameters (Å, degrees): 3.761 5.386 5.386 120.00 90.00 90.00
Each line ends with the local moment (μB).
Fractional positions:
Eu1 0.686 0.333 0.667  6.87
Tl1 0.078 0.000 0.000  -0.03
Dy1 0.235 0.667 0.333  0.06

* V: 31.50 Å³ per atom
* calculated formation energy: -0.162 eV per atom
* space-group type: P3m1 (156)
* excess energy over the best structure of this formula in the dataset: 0.0 meV/atom

---

DFT (GGA-PBE) results for a relaxed structure of EuDyTl2.

Lattice parameters (Å, degrees): 5.490 5.490 5.490 60.00 60.00 60.00
Each line ends with the local moment (μB).
Fractional positions:
Dy1 0.000 0.000 0.000  0.10
Eu1 0.500 0.500 0.500  6.87
Tl1 0.750 0.750 0.750  0.01
Tl2 0.250 0.250 0.250  0.01

* V: 29.25 Å³ per atom
* calculated formation energy: -0.359 eV per atom
* space-group type: Fm-3m (225)
* excess energy over the best structure of this formula in the dataset: 33.4 meV/atom

---

DFT (GGA-PBE) results for a relaxed structure of EuDyTl.

Lattice parameters (Å, degrees): 3.479 3.479 9.154 100.95 100.95 90.00
Each line ends with the local moment (μB).
Fractional positions:
Eu1 0.956 0.956 0.912  7.10
Tl1 0.136 0.136 0.273  -0.01
Dy1 0.758 0.758 0.515  -0.23

* V: 35.57 Å³ per atom
* calculated formation energy: 0.218 eV per atom
* space-group type: I4mm (107)
* excess energy over the best structure of this formula in the dataset: 379.4 meV/atom

---

DFT (GGA-PBE) results for a relaxed structure of EuDyTl2.

Lattice parameters (Å, degrees): 3.799 3.799 10.227 79.30 79.30 60.00
Each line ends with the local moment (μB).
Fractional positions:
Tl1 0.253 0.253 0.241  0.00
Tl2 0.747 0.747 0.759  0.00
Eu1 0.500 0.500 0.500  6.92
Dy1 0.000 0.000 0.000  -0.01

* V: 31.21 Å³ per atom
* calculated formation energy: -0.258 eV per atom
* space-group type: R-3m (166)
* excess energy over the best structure of this formula in the dataset: 134.5 meV/atom